# InCoTe4, optimized geometry, DFT PBE
data_InCoTe4
_chemical_formula_sum 'In1 Co1 Te4'
_cell_length_a 6.393
_cell_length_b 6.393
_cell_length_c 6.393
_cell_angle_alpha 60.00
_cell_angle_beta 60.00
_cell_angle_gamma 60.00
_space_group_name_H-M_alt 'P 1'
_space_group_IT_number 1
loop_
_space_group_symop_operation_xyz
'x,y,z'
loop_
_atom_site_label
_atom_site_fract_x
_atom_site_fract_y
_atom_site_fract_z
_atom_site_occupancy
In1 0.000 0.000 0.000 1
Co1 0.250 0.250 0.250 1
Te1 0.128 0.624 0.624 1
Te2 0.624 0.128 0.624 1
Te3 0.624 0.624 0.128 1
Te4 0.624 0.624 0.624 1
# E_form (uncorrected)   0.733 eV per atom

# In2CoTe, optimized geometry, DFT PBE
data_In2CoTe
_chemical_formula_sum 'In2 Co1 Te1'
_cell_length_a 7.023
_cell_length_b 7.023
_cell_length_c 7.023
_cell_angle_alpha 153.80
_cell_angle_beta 143.29
_cell_angle_gamma 45.66
_space_group_name_H-M_alt 'P 1'
_space_group_IT_number 1
loop_
_space_group_symop_operation_xyz
'x,y,z'
loop_
_atom_site_label
_atom_site_fract_x
_atom_site_fract_y
_atom_site_fract_z
_atom_site_occupancy
In1 0.000 0.000 0.000 1
In2 0.670 0.170 0.500 1
Co1 0.484 0.484 0.000 1
Te1 0.326 0.826 0.500 1
# E_form (uncorrected)   0.077 eV per atom

# In2CoTe, optimized geometry, DFT PBE
data_In2CoTe
_chemical_formula_sum 'In2 Co1 Te1'
_cell_length_a 5.961
_cell_length_b 5.961
_cell_length_c 4.022
_cell_angle_alpha 90.00
_cell_angle_beta 90.00
_cell_angle_gamma 133.34
_space_group_name_H-M_alt 'P 1'
_space_group_IT_number 1
loop_
_space_group_symop_operation_xyz
'x,y,z'
loop_
_atom_site_label
_atom_site_fract_x
_atom_site_fract_y
_atom_site_fract_z
_atom_site_occupancy
In1 0.159 0.841 0.000 1
In2 0.841 0.159 0.000 1
Co1 0.000 0.000 0.500 1
Te1 0.500 0.500 0.500 1
# E_form (uncorrected)   0.110 eV per atom

# InCoTe2, optimized geometry, DFT PBE
data_InCoTe2
_chemical_formula_sum 'In1 Co1 Te2'
_cell_length_a 5.128
_cell_length_b 5.128
_cell_length_c 6.405
_cell_angle_alpha 111.51
_cell_angle_beta 111.51
_cell_angle_gamma 42.96
_space_group_name_H-M_alt 'P 1'
_space_group_IT_number 1
loop_
_space_group_symop_operation_xyz
'x,y,z'
loop_
_atom_site_label
_atom_site_fract_x
_atom_site_fract_y
_atom_site_fract_z
_atom_site_occupancy
In1 0.000 0.000 0.000 1
Co1 0.733 0.733 0.996 1
Te1 0.166 0.166 0.704 1
Te2 0.328 0.328 0.287 1
# E_form (uncorrected)   -0.051 eV per atom

# In2CoTe, optimized geometry, DFT PBE
data_In2CoTe
_chemical_formula_sum 'In2 Co1 Te1'
_cell_length_a 6.274
_cell_length_b 6.274
_cell_length_c 3.855
_cell_angle_alpha 107.12
_cell_angle_beta 107.12
_cell_angle_gamma 125.69
_space_group_name_H-M_alt 'P 1'
_space_group_IT_number 1
loop_
_space_group_symop_operation_xyz
'x,y,z'
loop_
_atom_site_label
_atom_site_fract_x
_atom_site_fract_y
_atom_site_fract_z
_atom_site_occupancy
In1 0.000 0.500 0.000 1
In2 0.500 0.000 0.000 1
Co1 0.000 0.000 0.500 1
Te1 0.500 0.500 0.500 1
# E_form (uncorrected)   0.356 eV per atom

# In2CoTe, optimized geometry, DFT PBE
data_In2CoTe
_chemical_formula_sum 'In2 Co1 Te1'
_cell_length_a 8.886
_cell_length_b 8.886
_cell_length_c 8.886
_cell_angle_alpha 22.49
_cell_angle_beta 22.49
_cell_angle_gamma 22.49
_space_group_name_H-M_alt 'P 1'
_space_group_IT_number 1
loop_
_space_group_symop_operation_xyz
'x,y,z'
loop_
_atom_site_label
_atom_site_fract_x
_atom_site_fract_y
_atom_site_fract_z
_atom_site_occupancy
In1 0.233 0.233 0.233 1
In2 0.767 0.767 0.767 1
Co1 0.500 0.500 0.500 1
Te1 0.000 0.000 0.000 1
# E_form (uncorrected)   0.256 eV per atom

# In2CoTe, optimized geometry, DFT PBE
data_In2CoTe
_chemical_formula_sum 'In2 Co1 Te1'
_cell_length_a 5.309
_cell_length_b 5.309
_cell_length_c 5.309
_cell_angle_alpha 127.82
_cell_angle_beta 127.82
_cell_angle_gamma 76.92
_space_group_name_H-M_alt 'P 1'
_space_group_IT_number 1
loop_
_space_group_symop_operation_xyz
'x,y,z'
loop_
_atom_site_label
_atom_site_fract_x
_atom_site_fract_y
_atom_site_fract_z
_atom_site_occupancy
In1 0.000 0.000 0.000 1
In2 0.750 0.250 0.500 1
Co1 0.500 0.500 0.000 1
Te1 0.250 0.750 0.500 1
# E_form (uncorrected)   0.440 eV per atom

# InCoTe, optimized geometry, DFT PBE
data_InCoTe
_chemical_formula_sum 'In1 Co1 Te1'
_cell_length_a 3.611
_cell_length_b 3.611
_cell_length_c 5.781
_cell_angle_alpha 90.00
_cell_angle_beta 90.00
_cell_angle_gamma 120.00
_space_group_name_H-M_alt 'P 1'
_space_group_IT_number 1
loop_
_space_group_symop_operation_xyz
'x,y,z'
loop_
_atom_site_label
_atom_site_fract_x
_atom_site_fract_y
_atom_site_fract_z
_atom_site_occupancy
In1 0.000 0.000 0.000 1
Co1 0.333 0.667 0.705 1
Te1 0.667 0.333 0.473 1
# E_form (uncorrected)   0.056 eV per atom

# InCoTe3, optimized geometry, DFT PBE
data_InCoTe3
_chemical_formula_sum 'In1 Co1 Te3'
_cell_length_a 5.158
_cell_length_b 5.158
_cell_length_c 5.158
_cell_angle_alpha 90.00
_cell_angle_beta 90.00
_cell_angle_gamma 90.00
_space_group_name_H-M_alt 'P 1'
_space_group_IT_number 1
loop_
_space_group_symop_operation_xyz
'x,y,z'
loop_
_atom_site_label
_atom_site_fract_x
_atom_site_fract_y
_atom_site_fract_z
_atom_site_occupancy
In1 0.000 0.000 0.000 1
Co1 0.500 0.500 0.500 1
Te1 0.000 0.500 0.500 1
Te2 0.500 0.000 0.500 1
Te3 0.500 0.500 0.000 1
# ΔE to the lowest computed polymorph   0.000 eV per atom
# E_form (uncorrected)   0.236 eV per atom

# InCoTe2, optimized geometry, DFT PBE
data_InCoTe2
_chemical_formula_sum 'In1 Co1 Te2'
_cell_length_a 5.089
_cell_length_b 5.089
_cell_length_c 3.805
_cell_angle_alpha 90.00
_cell_angle_beta 90.00
_cell_angle_gamma 102.34
_space_group_name_H-M_alt 'P 1'
_space_group_IT_number 1
loop_
_space_group_symop_operation_xyz
'x,y,z'
loop_
_atom_site_label
_atom_site_fract_x
_atom_site_fract_y
_atom_site_fract_z
_atom_site_occupancy
In1 0.000 0.000 0.000 1
Co1 0.500 0.500 0.000 1
Te1 0.000 0.500 0.500 1
Te2 0.500 0.000 0.500 1
# E_form (uncorrected)   0.493 eV per atom

# TiInCoTe3, optimized geometry, DFT PBE
data_TiInCoTe3
_chemical_formula_sum 'Ti2 In2 Co2 Te6'
_cell_length_a 8.606
_cell_length_b 3.782
_cell_length_c 10.547
_cell_angle_alpha 90.00
_cell_angle_beta 113.16
_cell_angle_gamma 90.00
_space_group_name_H-M_alt 'P 1'
_space_group_IT_number 1
loop_
_space_group_symop_operation_xyz
'x,y,z'
loop_
_atom_site_label
_atom_site_fract_x
_atom_site_fract_y
_atom_site_fract_z
_atom_site_occupancy
Ti1 0.035 0.250 0.315 1
Ti2 0.965 0.750 0.685 1
In1 0.483 0.750 0.788 1
In2 0.517 0.250 0.212 1
Co1 0.019 0.750 0.099 1
Co2 0.981 0.250 0.901 1
Te1 0.167 0.250 0.614 1
Te2 0.194 0.750 0.951 1
Te3 0.272 0.750 0.332 1
Te4 0.728 0.250 0.668 1
Te5 0.806 0.250 0.049 1
Te6 0.833 0.750 0.386 1
# E_form (uncorrected)   -0.381 eV per atom

# Th12InCo5, optimized geometry, DFT PBE
data_Th12InCo5
_chemical_formula_sum 'Th12 In1 Co5'
_cell_length_a 8.528
_cell_length_b 8.528
_cell_length_c 8.528
_cell_angle_alpha 112.54
_cell_angle_beta 110.81
_cell_angle_gamma 105.15
_space_group_name_H-M_alt 'P 1'
_space_group_IT_number 1
loop_
_space_group_symop_operation_xyz
'x,y,z'
loop_
_atom_site_label
_atom_site_fract_x
_atom_site_fract_y
_atom_site_fract_z
_atom_site_occupancy
Th1 0.024 0.203 0.822 1
Th2 0.181 0.308 0.488 1
Th3 0.181 0.692 0.873 1
Th4 0.328 0.013 0.685 1
Th5 0.328 0.642 0.315 1
Th6 0.381 0.203 0.178 1
Th7 0.619 0.797 0.822 1
Th8 0.672 0.358 0.685 1
Th9 0.672 0.987 0.315 1
Th10 0.819 0.308 0.127 1
Th11 0.819 0.692 0.512 1
Th12 0.976 0.797 0.178 1
In1 0.500 0.500 0.000 1
Co1 0.000 0.000 0.000 1
Co2 0.129 0.629 0.500 1
Co3 0.361 0.000 0.361 1
Co4 0.639 0.000 0.639 1
Co5 0.871 0.371 0.500 1
# ΔE_f   -166 meV/atom

Fermi-level density of states, respectively: 6.13 2.75 3.53 3.34 4.06 3.11 3.84 2.02 7.76 5.76 2.72 23.51 states/eV/f.u..